A geometry-optimized CoOsW2 structure. Source: Alexandria, functional PBE.

Values from the calculation:
DOS at the Fermi energy: 3.2 states/eV/f.u.
Energy: -44.060 eV for the cell shown
Energy relative to the lowest polymorph listed for this composition: 5 meV/atom
Formation energy: 0.05 eV/atom

Cell lengths 3.870, 3.870, 3.817 Å; angles 90.00, 90.00, 90.00 degrees
Space group P4/mmm (No. 123)
One atom of each set of equivalent atoms:
Co  0.000  0.000  0.000 [1 per cell]
Os  0.500  0.500  0.000 [1 per cell]
W  0.000  0.500  0.500 [2 per cell]